No. 1
Below is a crystal of SrOsSe2 relaxed with PBEsol, with properties calculated at the SCAN level.

Cell: 3.8196 5.2572 5.4697 Å, 110.05 90.00 111.30°
Closest atoms and distances in Å follow each position.
Fractional coordinates of all 4 atoms:
Os 0.3141 0.6282 0.9709  4 Se 2.40-2.47
Se 0.7353 0.4706 0.1747  2 Os 2.47
Se 0.9003 0.8006 0.8030  2 Os 2.40
Sr 0.5503 0.1006 0.5513  5 Se 3.03-3.22, 3 Os 3.17-3.35

Values from the calculation:
SG: No. 8
Energy relative to the lowest polymorph listed for this composition: 0 meV per atom
E_form (uncorrected): -0.540 eV per atom

=====

No. 2
Below is a crystal of Tm2CdCu2 relaxed with PBEsol, with properties calculated at the SCAN level.

Cell: 3.6158 7.3010 7.3010 Å, 90.00 90.00 90.00°
Closest atoms and distances in Å follow each position.
Fractional coordinates of all 10 atoms:
Cd 0.0000 0.5000 0.5000  4 Cu 2.91, 8 Tm 3.25
Cu 0.0000 0.1208 0.6208  1 Cu 2.49, 2 Tm 2.79
Tm 0.5000 0.1735 0.3265  6 Cu 2.79-2.83
Cd 0.0000 0.0000 0.0000  4 Cu 2.91, 8 Tm 3.25
Tm 0.5000 0.6735 0.1735  6 Cu 2.79-2.83
Cu 0.0000 0.6208 0.8792  1 Cu 2.49, 2 Tm 2.79
Tm 0.5000 0.3265 0.8265  6 Cu 2.79-2.83
Cu 0.0000 0.8792 0.3792  1 Cu 2.49, 2 Tm 2.79
Cu 0.0000 0.3792 0.1208  1 Cu 2.49, 2 Tm 2.79
Tm 0.5000 0.8265 0.6735  6 Cu 2.79-2.83

Values from the calculation:
SG: No. 127
Formation energy from the elements: -0.3848 eV per atom

=====

No. 3
Below is a crystal of NpGe3 relaxed with PBEsol, with properties calculated at the SCAN level.

Cell: 4.1408 4.1408 4.1408 Å, 90.00 90.00 90.00°
Closest atoms and distances in Å follow each position.
Fractional coordinates of all 4 atoms:
Np 0.0000 0.0000 0.0000  12 Ge 2.93
Ge 0.5000 0.5000 0.0000  8 Ge 2.93, 4 Np 2.93
Ge 0.5000 0.0000 0.5000  8 Ge 2.93, 4 Np 2.93
Ge 0.0000 0.5000 0.5000  8 Ge 2.93, 4 Np 2.93

Values from the calculation:
SG: No. 221
Formation energy from the elements: -0.1416 eV per atom

=====

No. 4
Below is a crystal of NaNi2SnBr relaxed with PBEsol, with properties calculated at the SCAN level.

Cell: 4.6565 4.6565 4.8517 Å, 90.00 90.00 90.00°
Closest atoms and distances in Å follow each position.
Fractional coordinates of all 5 atoms:
Br 0.0000 0.0000 0.5000  2 Na 2.43
Ni 0.0000 0.5000 0.0000  2 Na 2.33
Ni 0.5000 0.0000 0.0000  2 Na 2.33
Na 0.0000 0.0000 0.0000  4 Ni 2.33, 2 Br 2.43
Sn 0.5000 0.5000 0.5000  4 Br 3.29, 8 Ni 3.36

Values from the calculation:
SG: No. 123
E_form (uncorrected): 1.130 eV per atom

=====

No. 5
Below is a crystal of LaNiMo2 relaxed with PBEsol, with properties calculated at the SCAN level.

Cell: 3.2988 4.5094 5.7819 Å, 106.30 90.00 111.46°
Closest atoms and distances in Å follow each position.
Fractional coordinates of all 4 atoms:
Ni 0.5173 0.0346 0.5900  5 Mo 2.46-2.70
Mo 0.2430 0.4859 0.7408  3 Ni 2.46-2.70, 3 Mo 2.49-2.73
La 0.7681 0.5363 0.2617  2 Ni 2.88, 3 Mo 3.04-3.17
Mo 0.9716 0.9432 0.9074  3 Mo 2.49-2.73, 2 Ni 2.58

Values from the calculation:
SG: No. 8
Formation energy from the elements: 0.4428 eV per atom
Energy relative to the lowest polymorph listed for this composition: 0 meV per atom

=====

No. 6
Below is a crystal of LaAg2Pb relaxed with PBEsol, with properties calculated at the SCAN level.

Cell: 3.2958 4.9095 6.0050 Å, 90.00 90.00 90.00°
Closest atoms and distances in Å follow each position.
Fractional coordinates of all 4 atoms:
Ag 0.0000 0.0000 0.2640  2 Ag 2.83-3.17, 2 Pb 2.92
Pb 0.0000 0.5000 0.0000  4 Ag 2.92
La 0.5000 0.5000 0.5000  8 Ag 3.28, 2 La 3.30, 4 Pb 3.43
Ag 0.0000 0.0000 0.7360  2 Ag 2.83-3.17, 2 Pb 2.92

Values from the calculation:
SG: No. 47
Formation energy from the elements: -0.2835 eV per atom

=====

No. 7
Below is a crystal of CdIO3 relaxed with PBEsol, with properties calculated at the SCAN level.

Cell: 4.1511 4.1511 4.1511 Å, 90.00 90.00 90.00°
Closest atoms and distances in Å follow each position.
Fractional coordinates of all 5 atoms:
I 0.5000 0.5000 0.5000  12 O 2.94
Cd 0.0000 0.0000 0.0000  6 O 2.08
O 0.5000 0.0000 0.0000  2 Cd 2.08
O 0.0000 0.0000 0.5000  2 Cd 2.08
O 0.0000 0.5000 0.0000  2 Cd 2.08

Values from the calculation:
SG: No. 221
E_form (uncorrected): 0.412 eV per atom

=====

No. 8
Below is a crystal of KSbS2O8 relaxed with PBEsol, with properties calculated at the SCAN level.

Cell: 7.3863 8.9092 10.5322 Å, 91.33 90.00 90.00°
Closest atoms and distances in Å follow each position.
Fractional coordinates of all 48 atoms:
O 0.6263 0.0604 0.5844  1 S 1.47
K 0.3287 0.3178 0.0994  7 O 2.78-3.00
O 0.6804 0.4288 0.0506  1 S 1.46
O 0.9335 0.2914 0.6138  1 S 1.55
O 0.8622 0.5889 0.1912  1 S 1.51
O 0.8074 0.8879 0.2786  1 S 1.56
Sb 0.2886 0.8079 0.6159  4 O 2.06-2.28
O 0.8493 0.8685 0.5277  1 S 1.51
O 0.8196 0.9288 0.0506  1 S 1.46
O 0.8737 0.5604 0.5844  1 S 1.47
O 0.3737 0.9396 0.4156  1 S 1.47
S 0.2096 0.5809 0.3762  4 O 1.44-1.55
O 0.1804 0.0712 0.9494  1 S 1.46
S 0.2904 0.0809 0.3762  4 O 1.44-1.55
K 0.1713 0.8178 0.0994  7 O 2.78-3.00
O 0.5665 0.7914 0.6138  1 S 1.55
O 0.3074 0.6121 0.7214  1 S 1.56
O 0.2159 0.0754 0.2499  1 S 1.44
O 0.9566 0.3297 0.1429  1 S 1.45
S 0.7096 0.9191 0.6238  4 O 1.44-1.55
O 0.4335 0.2086 0.3862  1 S 1.55
O 0.1926 0.1121 0.7214  1 S 1.56
O 0.1378 0.4111 0.8088  1 S 1.51
O 0.6507 0.3685 0.5277  1 S 1.51
S 0.1968 0.5699 0.8412  4 O 1.45-1.56
O 0.3493 0.6315 0.4723  1 S 1.51
O 0.0665 0.7086 0.3862  1 S 1.55
S 0.3032 0.0699 0.8412  4 O 1.45-1.56
Sb 0.2114 0.3079 0.6159  4 O 2.06-2.28
O 0.6926 0.3879 0.2786  1 S 1.56
S 0.6968 0.9301 0.1588  4 O 1.45-1.56
O 0.4566 0.1703 0.8571  1 S 1.45
O 0.5434 0.8297 0.1429  1 S 1.45
Sb 0.7114 0.1921 0.3841  4 O 2.06-2.28
O 0.3622 0.9111 0.8088  1 S 1.51
Sb 0.7886 0.6921 0.3841  4 O 2.06-2.28
O 0.2841 0.5754 0.2499  1 S 1.44
O 0.1507 0.1315 0.4723  1 S 1.51
O 0.0434 0.6703 0.8571  1 S 1.45
O 0.6378 0.0889 0.1912  1 S 1.51
K 0.8287 0.1822 0.9006  7 O 2.78-3.00
S 0.8032 0.4301 0.1588  4 O 1.45-1.56
O 0.7841 0.9246 0.7501  1 S 1.44
O 0.3196 0.5712 0.9494  1 S 1.46
O 0.7159 0.4246 0.7501  1 S 1.44
S 0.7904 0.4191 0.6238  4 O 1.44-1.55
K 0.6713 0.6822 0.9006  7 O 2.78-3.00
O 0.1263 0.4396 0.4156  1 S 1.47

Values from the calculation:
SG: No. 14
E_form (uncorrected): -1.692 eV per atom

=====

No. 9
Below is a crystal of TeOs2W relaxed with PBEsol, with properties calculated at the SCAN level.

Cell: 4.5222 4.5222 4.5222 Å, 60.00 60.00 60.00°
Closest atoms and distances in Å follow each position.
Fractional coordinates of all 4 atoms:
Os 0.2500 0.2500 0.2500  4 W 2.77, 4 Te 2.77
Os 0.7500 0.7500 0.7500  4 Te 2.77, 4 W 2.77
W 0.5000 0.5000 0.5000  8 Os 2.77
Te 0.0000 0.0000 0.0000  8 Os 2.77

Values from the calculation:
SG: No. 225
E_form (uncorrected): 1.012 eV per atom

=====

No. 10
Below is a crystal of BaTc2P relaxed with PBEsol, with properties calculated at the SCAN level.

Cell: 3.0405 5.2751 5.3740 Å, 119.01 105.84 91.17°
Closest atoms and distances in Å follow each position.
Fractional coordinates of all 4 atoms:
P 0.5000 0.5000 0.0000  4 Tc 2.69
Tc 0.5000 0.5000 0.5000  2 P 2.69, 2 Ba 2.69
Ba 0.0000 0.0000 0.0000  4 Tc 2.69
Tc 0.0000 0.0000 0.5000  2 Ba 2.69, 2 P 2.69

Values from the calculation:
SG: No. 12
Formation energy from the elements: 1.0909 eV per atom

=====

No. 11
Below is a crystal of CaTc2As relaxed with PBEsol, with properties calculated at the SCAN level.

Cell: 3.0282 3.0282 8.8563 Å, 80.16 80.16 60.00°
Closest atoms and distances in Å follow each position.
Fractional coordinates of all 4 atoms:
Tc 0.0092 0.0092 0.9724  3 Tc 2.63, 3 Ca 2.94
Tc 0.7515 0.7515 0.7456  3 As 2.51, 3 Tc 2.63
As 0.4874 0.4874 0.5377  3 Tc 2.51
Ca 0.2519 0.2519 0.2442  3 Tc 2.94, 6 Ca 3.03, 3 As 3.09

Values from the calculation:
SG: No. 160
Formation energy from the elements: 0.2753 eV per atom

=====

No. 12
Below is a crystal of KTaTi2Cl relaxed with PBEsol, with properties calculated at the SCAN level.

Cell: 4.4329 4.4329 4.9011 Å, 90.00 90.00 90.00°
Closest atoms and distances in Å follow each position.
Fractional coordinates of all 5 atoms:
Ti 0.5000 0.0000 0.0000  2 K 2.22
Ta 0.0000 0.0000 0.5000  2 K 2.45
Ti 0.0000 0.5000 0.0000  2 K 2.22
Cl 0.5000 0.5000 0.5000  4 Ta 3.13, 8 Ti 3.30
K 0.0000 0.0000 0.0000  4 Ti 2.22, 2 Ta 2.45

Values from the calculation:
SG: No. 123
Energy relative to the lowest polymorph listed for this composition: 1740 meV per atom
E_form (uncorrected): 2.658 eV per atom

=====

Going through the records in order, we get D(E_F) values of 1.37, 3.46, 8.01, 2.57, 4.89, 1.30, 2.66, 0.00, 2.33, 4.20, 2.78, 7.09 states/eV/f.u..
Going through the records in order, we get V values of 95, 193, 71, 105, 76, 97, 72, 693, 65, 71, 69, 96 Å³/cell.